# 1
Here is CsMgMnCl5 after structural relaxation from Alexandria via LeMat-Bulk. Energies are from PBE.

Calculated values
Total energy in eV/atom: -4.204

a = 9.054 Å, b = 12.151 Å, c = 9.384 Å
α = 90.00°, β = 111.75°, γ = 90.00°
Space group C2/c (No. 15)
Asymmetric unit:
1 Cs 0.000 0.158 0.250 (multiplicity 4)
2 Mg 0.000 0.500 0.000 (multiplicity 4)
3 Mn 0.000 0.194 0.750 (multiplicity 4)
4 Cl 0.000 0.442 0.250 (multiplicity 4)
5 Cl 0.097 0.308 0.598 (multiplicity 8)
6 Cl 0.198 0.080 0.925 (multiplicity 8)

# 2
Here is Cs2MgMnCl6 after structural relaxation from Alexandria via LeMat-Bulk. Energies are from PBE.

Calculated values
Total energy in eV/atom: -4.074

a = 7.3628 Å, b = 7.3628 Å, c = 36.3625 Å
α = 90.00°, β = 90.00°, γ = 120.00°
Space group R-3m (No. 166, hexagonal axes)
Asymmetric unit:
1 Cs 0.0000 0.0000 0.1262 (multiplicity 6)
2 Cs 0.0000 0.0000 0.2902 (multiplicity 6)
3 Mg 0.0000 0.0000 0.4119 (multiplicity 6)
4 Mn 0.0000 0.0000 0.0000 (multiplicity 3)
5 Mn 0.0000 0.0000 0.5000 (multiplicity 3)
6 Cl 0.0014 0.5007 0.7070 (multiplicity 18)
7 Cl 0.0240 0.5120 0.1228 (multiplicity 18)

# 3
Here is CsMgMnCl6 after structural relaxation from Alexandria via LeMat-Bulk. Energies are from PBE.

Calculated values
Total energy in eV/atom: -4.033

a = 6.668 Å, b = 10.861 Å, c = 7.859 Å
α = 90.00°, β = 92.35°, γ = 90.00°
Space group C2 (No. 5)
Asymmetric unit:
1 Cs 0.000 0.000 0.000 (multiplicity 2)
2 Mg 0.000 0.672 0.500 (multiplicity 2)
3 Mn 0.000 0.327 0.500 (multiplicity 2)
4 Cl 0.121 0.483 0.675 (multiplicity 4)
5 Cl 0.174 0.183 0.666 (multiplicity 4)
6 Cl 0.189 0.805 0.696 (multiplicity 4)